A plane-wave DFT calculation with PBE-GGA was carried out for a relaxed structure of ZrAs2Se.

Properties
ΔE_f (raw) = -0.14 eV/atom
Energy = -5.472 eV/atom

Cell: 6.809 6.809 6.809 Å, 90.00 90.00 90.00°
Fractional positions:
Zr: 0.000 0.000 0.000
Zr: 0.000 0.500 0.500
Zr: 0.500 0.000 0.500
Zr: 0.500 0.500 0.000
As: 0.000 0.000 0.500
As: 0.000 0.500 0.000
As: 0.250 0.250 0.250
As: 0.250 0.750 0.750
As: 0.500 0.000 0.000
As: 0.500 0.500 0.500
As: 0.750 0.250 0.750
As: 0.750 0.750 0.250
Se: 0.250 0.250 0.750
Se: 0.250 0.750 0.250
Se: 0.750 0.250 0.250
Se: 0.750 0.750 0.750